# AcNiOs2O8

A relaxed structure of AcNiOs2O8 (GGA+U, the Alexandria database).

abc: 5.368 5.368 7.157
angles: 90.00 90.00 120.00
Last column: magnetic moment on the atom in μB.
Fractional positions:
Ac 0.000 0.000 0.000  0.04
Ni 0.000 0.000 0.500  1.75
Os 0.667 0.333 0.283  0.93
Os 0.333 0.667 0.717  0.93
O 0.333 0.667 0.976  0.21
O 0.301 0.270 0.310  0.10
O 0.730 0.031 0.310  0.10
O 0.667 0.333 0.024  0.21
O 0.270 0.969 0.690  0.10
O 0.699 0.730 0.690  0.10
O 0.031 0.301 0.690  0.10
O 0.969 0.699 0.310  0.10

Magnetic moment, μB per cell: 5.021
Volume, A^3/atom: 14.9
Total DFT energy (no corrections), eV per atom: -6.999